No. 1
Here is a relaxed structure of CoB2W from Alexandria via LeMat-Bulk. Energies are from GGA-PBE.

Cell: 5.345 5.345 5.345 Å, 90.00 90.00 90.00°
Positions (direct):
1 Co 0.000 0.000 0.000
2 Co 0.000 0.500 0.500
3 Co 0.500 0.000 0.500
4 Co 0.500 0.500 0.000
5 B 0.250 0.250 0.250
6 B 0.250 0.250 0.750
7 B 0.250 0.750 0.250
8 B 0.250 0.750 0.750
9 B 0.750 0.250 0.250
10 B 0.750 0.250 0.750
11 B 0.750 0.750 0.250
12 B 0.750 0.750 0.750
13 W 0.000 0.000 0.500
14 W 0.000 0.500 0.000
15 W 0.500 0.000 0.000
16 W 0.500 0.500 0.500

Computed properties:
ΔE to the lowest computed polymorph in eV/atom: 0.663
Formation energy from the elements in kJ per mole of atoms: 35.4

---

No. 2
Here is a relaxed structure of SiHg2Os from Alexandria via LeMat-Bulk. Energies are from GGA-PBE.

Cell: 2.972 5.506 4.534 Å, 90.00 92.36 90.00°
Positions (direct):
1 Si 0.000 0.000 0.000
2 Hg 0.251 0.500 0.250
3 Hg 0.749 0.500 0.750
4 Os 0.500 0.000 0.500

Computed properties:
Formation energy without anion corrections in meV/atom: 753.6

---

No. 3
Here is a relaxed structure of HfIn2OsO from Alexandria via LeMat-Bulk. Energies are from GGA-PBE.

Cell: 4.966 4.966 3.776 Å, 90.00 90.00 90.00°
Positions (direct):
1 Hf 0.000 0.000 0.000
2 In 0.000 0.500 0.500
3 In 0.500 0.000 0.500
4 Os 0.500 0.500 0.000
5 O 0.500 0.500 0.500

Computed properties:
Formation energy without anion corrections in meV/atom: 48.3

---

No. 4
Here is a relaxed structure of LiHgSe2 from Alexandria via LeMat-Bulk. Energies are from GGA-PBE.

Cell: 7.001 7.001 7.001 Å, 90.00 90.00 90.00°
Positions (direct):
1 Li 0.000 0.000 0.000
2 Li 0.000 0.500 0.500
3 Li 0.500 0.000 0.500
4 Li 0.500 0.500 0.000
5 Hg 0.250 0.250 0.750
6 Hg 0.250 0.750 0.250
7 Hg 0.750 0.250 0.250
8 Hg 0.750 0.750 0.750
9 Se 0.000 0.000 0.500
10 Se 0.000 0.500 0.000
11 Se 0.250 0.250 0.250
12 Se 0.250 0.750 0.750
13 Se 0.500 0.000 0.000
14 Se 0.500 0.500 0.500
15 Se 0.750 0.250 0.750
16 Se 0.750 0.750 0.250

Computed properties:
Formation energy without anion corrections in meV/atom: -31.7